Compound: Sc2Ge2Pd
Source: Alexandria via LeMat-Bulk
Functional: PBE-GGA
Structure: relaxed

Results
Energy above the most stable polymorph in this dataset   0.03 eV/f.u.
N(E_F)   6.73 states/eV/cell
Calculated formation energy   -0.867 eV per atom
Energy   -6.28 eV per atom

Lattice parameters (Å, degrees): 4.159 5.542 8.894 80.92 76.48 67.96
Fractional coordinates of all 10 atoms:
1 Ge 0.136 0.308 0.421
2 Ge 0.035 0.815 0.115
3 Ge 0.864 0.692 0.579
4 Ge 0.965 0.185 0.885
5 Pd 0.217 0.924 0.642
6 Pd 0.783 0.076 0.358
7 Sc 0.679 0.745 0.897
8 Sc 0.321 0.255 0.103
9 Sc 0.502 0.322 0.675
10 Sc 0.498 0.678 0.325

Compound: ScGePd3
Source: Alexandria via LeMat-Bulk
Functional: PBE-GGA
Structure: relaxed

Results
Energy above the most stable polymorph in this dataset   2.03 eV/f.u.
N(E_F)   3.77 states/eV/cell
Calculated formation energy   -0.213 eV per atom
Energy   -5.52 eV per atom

Lattice parameters (Å, degrees): 4.630 4.630 4.630 90.00 90.00 90.00
Fractional coordinates of all 5 atoms:
1 Pd 0.000 0.500 0.000
2 Pd 0.000 0.000 0.500
3 Pd 0.500 0.000 0.000
4 Sc 0.500 0.500 0.500
5 Ge 0.000 0.000 0.000

Compound: Sc2GePd
Source: Alexandria via LeMat-Bulk
Functional: PBE-GGA
Structure: relaxed

Results
N(E_F)   3.98 states/eV/cell
Calculated formation energy   -0.131 eV per atom
Energy   -5.75 eV per atom

Lattice parameters (Å, degrees): 9.466 9.466 9.466 20.38 20.38 20.38
Fractional coordinates of all 4 atoms:
1 Sc 0.902 0.902 0.902
2 Sc 0.098 0.098 0.098
3 Pd 0.500 0.500 0.500
4 Ge 0.000 0.000 0.000

Compound: Sc2GePd
Source: Alexandria via LeMat-Bulk
Functional: PBE-GGA
Structure: relaxed

Results
N(E_F)   2.97 states/eV/cell
Calculated formation energy   -0.802 eV per atom
Energy   -6.42 eV per atom

Lattice parameters (Å, degrees): 3.591 4.541 4.541 90.00 90.00 90.00
Fractional coordinates of all 4 atoms:
1 Pd 0.500 0.500 0.500
2 Ge 0.500 0.000 0.000
3 Sc 0.000 0.000 0.500
4 Sc 0.000 0.500 0.000

Compound: ScGePd
Source: Alexandria via LeMat-Bulk
Functional: PBE-GGA
Structure: relaxed

Results
N(E_F)   1.91 states/eV/cell
Calculated formation energy   -0.889 eV per atom
Energy   -6.27 eV per atom

Lattice parameters (Å, degrees): 3.252 4.334 4.334 120.00 90.00 90.00
Fractional coordinates of all 3 atoms:
1 Sc 0.667 0.667 0.333
2 Ge 0.167 0.333 0.667
3 Pd 0.167 0.000 0.000

Compound: ScGe6Pd12
Source: Alexandria via LeMat-Bulk
Functional: PBE-GGA
Structure: relaxed

Results
N(E_F)   10.10 states/eV/cell
Calculated formation energy   -0.417 eV per atom
Energy   -5.49 eV per atom

Lattice parameters (Å, degrees): 7.241 7.241 7.241 106.29 106.29 106.29
Fractional coordinates of all 19 atoms:
1 Pd 0.843 0.594 0.594
2 Pd 0.594 0.594 0.843
3 Pd 0.406 0.406 0.157
4 Pd 0.500 0.878 0.122
5 Pd 0.406 0.157 0.406
6 Pd 0.878 0.122 0.500
7 Pd 0.157 0.406 0.406
8 Pd 0.594 0.843 0.594
9 Pd 0.122 0.878 0.500
10 Pd 0.500 0.122 0.878
11 Pd 0.122 0.500 0.878
12 Pd 0.878 0.500 0.122
13 Ge 0.737 0.302 0.737
14 Ge 0.302 0.737 0.737
15 Ge 0.737 0.737 0.302
16 Ge 0.263 0.698 0.263
17 Ge 0.263 0.263 0.698
18 Ge 0.698 0.263 0.263
19 Sc 0.000 0.000 0.000

Compound: Sc2Ge2Pd3
Source: Alexandria via LeMat-Bulk
Functional: PBE-GGA
Structure: relaxed

Results
N(E_F)   2.78 states/eV/cell
Calculated formation energy   -0.800 eV per atom
Energy   -6.15 eV per atom

Lattice parameters (Å, degrees): 4.061 5.321 6.133 98.26 90.00 112.43
Fractional coordinates of all 7 atoms:
1 Sc 0.615 0.229 0.303
2 Sc 0.385 0.771 0.697
3 Ge 0.896 0.792 0.355
4 Ge 0.104 0.208 0.645
5 Pd 0.000 0.000 0.000
6 Pd 0.692 0.384 0.860
7 Pd 0.308 0.616 0.140

Compound: ScGePd3
Source: Alexandria via LeMat-Bulk
Functional: PBE-GGA
Structure: relaxed

Results
Energy above the most stable polymorph in this dataset   5.14 eV/f.u.
N(E_F)   1.89 states/eV/cell
Calculated formation energy   0.411 eV per atom
Energy   -4.89 eV per atom

Lattice parameters (Å, degrees): 4.782 4.782 4.782 90.00 90.00 90.00
Fractional coordinates of all 5 atoms:
1 Pd 0.000 0.500 0.000
2 Pd 0.500 0.000 0.000
3 Pd 0.000 0.000 0.500
4 Ge 0.500 0.500 0.500
5 Sc 0.000 0.000 0.000

Compound: Sc2GePd
Source: Alexandria via LeMat-Bulk
Functional: PBE-GGA
Structure: relaxed

Results
N(E_F)   6.03 states/eV/cell
Calculated formation energy   -0.142 eV per atom
Energy   -5.76 eV per atom

Lattice parameters (Å, degrees): 4.271 4.271 9.676 77.25 77.25 90.00
Fractional coordinates of all 8 atoms:
1 Pd 0.750 0.250 0.500
2 Pd 0.000 0.000 0.000
3 Sc 0.875 0.864 0.750
4 Sc 0.136 0.625 0.250
5 Sc 0.375 0.386 0.750
6 Sc 0.614 0.125 0.250
7 Ge 0.500 0.500 0.000
8 Ge 0.250 0.750 0.500

Compound: Sc4Ge6Pd7
Source: Alexandria via LeMat-Bulk
Functional: PBE-GGA
Structure: relaxed

Results
N(E_F)   7.77 states/eV/cell
Calculated formation energy   -0.799 eV per atom
Energy   -6.06 eV per atom

Lattice parameters (Å, degrees): 7.207 7.207 7.207 109.47 109.47 109.47
Fractional coordinates of all 17 atoms:
1 Ge 0.313 0.000 0.313
2 Ge 0.000 0.313 0.313
3 Ge 0.687 0.687 0.000
4 Ge 0.687 0.000 0.687
5 Ge 0.313 0.313 0.000
6 Ge 0.000 0.687 0.687
7 Sc 0.000 0.500 0.000
8 Sc 0.000 0.000 0.500
9 Sc 0.500 0.500 0.500
10 Sc 0.500 0.000 0.000
11 Pd 0.750 0.500 0.250
12 Pd 0.250 0.500 0.750
13 Pd 0.500 0.250 0.750
14 Pd 0.250 0.750 0.500
15 Pd 0.000 0.000 0.000
16 Pd 0.750 0.250 0.500
17 Pd 0.500 0.750 0.250

Compound: ScGePd
Source: Alexandria via LeMat-Bulk
Functional: PBE-GGA
Structure: relaxed

Results
N(E_F)   5.78 states/eV/cell
Calculated formation energy   -0.934 eV per atom
Energy   -6.31 eV per atom

Lattice parameters (Å, degrees): 3.994 6.723 6.723 120.00 90.00 90.00
Fractional coordinates of all 9 atoms:
1 Sc 0.000 0.576 0.000
2 Sc 0.000 0.424 0.424
3 Sc 0.000 0.000 0.576
4 Pd 0.500 0.000 0.248
5 Pd 0.500 0.248 0.000
6 Pd 0.500 0.752 0.752
7 Ge 0.500 0.667 0.333
8 Ge 0.000 0.000 0.000
9 Ge 0.500 0.333 0.667

Compound: Sc2Ge3Pd
Source: Alexandria via LeMat-Bulk
Functional: PBE-GGA
Structure: relaxed

Results
N(E_F)   3.41 states/eV/cell
Calculated formation energy   -0.670 eV per atom
Energy   -5.95 eV per atom

Lattice parameters (Å, degrees): 4.114 5.624 5.564 71.82 68.30 68.55
Fractional coordinates of all 6 atoms:
1 Ge 0.867 0.591 0.674
2 Ge 0.146 0.805 0.904
3 Ge 0.832 0.210 0.126
4 Sc 0.428 0.819 0.325
5 Sc 0.563 0.175 0.698
6 Pd 0.164 0.399 0.273

Compound: ScGe2Pd2
Source: Alexandria via LeMat-Bulk
Functional: PBE-GGA
Structure: relaxed

Results
N(E_F)   6.29 states/eV/cell
Calculated formation energy   -0.483 eV per atom
Energy   -5.67 eV per atom

Lattice parameters (Å, degrees): 7.456 7.456 3.067 90.00 90.00 90.00
Last column: magnetic moment on the atom in μB.
Fractional coordinates of all 10 atoms:
1 Ge 0.648 0.148 0.000  0.01
2 Ge 0.852 0.648 0.000  0.01
3 Ge 0.148 0.352 0.000  0.01
4 Ge 0.352 0.852 0.000  0.01
5 Pd 0.647 0.853 0.500  0.02
6 Pd 0.147 0.647 0.500  0.01
7 Pd 0.853 0.353 0.500  0.01
8 Pd 0.353 0.147 0.500  0.02
9 Sc 0.000 0.000 0.000  0.37
10 Sc 0.500 0.500 0.000  0.37

Compound: ScGePd
Source: Alexandria via LeMat-Bulk
Functional: PBE-GGA
Structure: relaxed

Results
N(E_F)   2.77 states/eV/cell
Calculated formation energy   -0.839 eV per atom
Energy   -6.22 eV per atom

Lattice parameters (Å, degrees): 4.234 5.421 5.519 74.33 67.45 67.02
Fractional coordinates of all 6 atoms:
1 Ge 0.842 0.107 0.209
2 Ge 0.158 0.893 0.791
3 Sc 0.452 0.307 0.788
4 Sc 0.548 0.693 0.212
5 Pd 0.825 0.725 0.625
6 Pd 0.175 0.275 0.375

Compound: Sc2Ge3Pd5
Source: Alexandria via LeMat-Bulk
Functional: PBE-GGA
Structure: relaxed

Results
N(E_F)   10.90 states/eV/cell
Calculated formation energy   -0.746 eV per atom
Energy   -5.99 eV per atom

Lattice parameters (Å, degrees): 4.249 6.774 11.804 90.00 100.37 90.00
Fractional coordinates of all 20 atoms:
1 Pd 0.300 0.614 0.599
2 Pd 0.946 0.037 0.892
3 Pd 0.054 0.537 0.108
4 Pd 0.121 0.188 0.241
5 Pd 0.286 0.048 0.572
6 Pd 0.604 0.807 0.208
7 Pd 0.714 0.548 0.428
8 Pd 0.396 0.307 0.792
9 Pd 0.879 0.688 0.759
10 Pd 0.700 0.114 0.401
11 Ge 0.048 0.906 0.096
12 Ge 0.223 0.342 0.446
13 Ge 0.387 0.929 0.775
14 Ge 0.952 0.406 0.904
15 Ge 0.777 0.842 0.554
16 Ge 0.613 0.429 0.225
17 Sc 0.181 0.811 0.362
18 Sc 0.480 0.682 0.961
19 Sc 0.520 0.182 0.039
20 Sc 0.819 0.311 0.638

Compound: Sc2Ge2Pd
Source: Alexandria via LeMat-Bulk
Functional: PBE-GGA
Structure: relaxed

Results
Energy above the most stable polymorph in this dataset   0.00 eV/f.u.
N(E_F)   4.03 states/eV/cell
Calculated formation energy   -0.872 eV per atom
Energy   -6.29 eV per atom

Lattice parameters (Å, degrees): 6.611 6.611 4.147 90.00 90.00 90.00
Fractional coordinates of all 10 atoms:
1 Sc 0.169 0.669 0.500
2 Sc 0.831 0.331 0.500
3 Sc 0.669 0.831 0.500
4 Sc 0.331 0.169 0.500
5 Ge 0.638 0.138 0.000
6 Ge 0.138 0.362 0.000
7 Ge 0.862 0.638 0.000
8 Ge 0.362 0.862 0.000
9 Pd 0.000 0.000 0.000
10 Pd 0.500 0.500 0.000

Compound: ScGe2Pd7
Source: Alexandria via LeMat-Bulk
Functional: PBE-GGA
Structure: relaxed

Results
Energy above the most stable polymorph in this dataset   3.55 eV/f.u.
N(E_F)   4.39 states/eV/cell
Calculated formation energy   -0.285 eV per atom
Energy   -5.48 eV per atom

Lattice parameters (Å, degrees): 4.364 7.095 7.095 117.64 90.00 90.00
Fractional coordinates of all 10 atoms:
1 Pd 0.000 0.221 0.779
2 Pd 0.500 0.932 0.696
3 Pd 0.500 0.068 0.304
4 Pd 0.000 0.779 0.221
5 Pd 0.500 0.304 0.068
6 Pd 0.500 0.696 0.932
7 Pd 0.500 0.500 0.500
8 Ge 0.500 0.697 0.303
9 Ge 0.500 0.303 0.697
10 Sc 0.000 0.000 0.000

Compound: Sc2GePd
Source: Alexandria via LeMat-Bulk
Functional: PBE-GGA
Structure: relaxed

Results
N(E_F)   1.70 states/eV/cell
Calculated formation energy   -0.864 eV per atom
Energy   -6.48 eV per atom

Lattice parameters (Å, degrees): 4.216 5.492 7.123 110.31 90.00 90.00
Fractional coordinates of all 8 atoms:
1 Sc 0.750 0.208 0.435
2 Sc 0.250 0.792 0.565
3 Sc 0.750 0.222 0.916
4 Sc 0.250 0.778 0.084
5 Ge 0.750 0.682 0.794
6 Ge 0.250 0.318 0.206
7 Pd 0.750 0.650 0.293
8 Pd 0.250 0.350 0.707

Compound: Sc3Ge2Pd7
Source: Alexandria via LeMat-Bulk
Functional: PBE-GGA
Structure: relaxed

Results
N(E_F)   8.16 states/eV/cell
Calculated formation energy   -0.781 eV per atom
Energy   -6.16 eV per atom

Lattice parameters (Å, degrees): 4.161 4.167 11.637 100.30 100.28 90.05
Fractional coordinates of all 12 atoms:
1 Sc 0.332 0.332 0.663
2 Sc 0.668 0.668 0.337
3 Sc 0.500 0.500 0.000
4 Pd 0.087 0.587 0.173
5 Pd 0.750 0.250 0.500
6 Pd 0.913 0.413 0.827
7 Pd 0.000 0.000 0.000
8 Pd 0.413 0.913 0.827
9 Pd 0.250 0.750 0.500
10 Pd 0.587 0.087 0.173
11 Ge 0.166 0.166 0.331
12 Ge 0.834 0.834 0.669

Compound: Sc2Ge3Pd2
Source: Alexandria via LeMat-Bulk
Functional: PBE-GGA
Structure: relaxed

Results
N(E_F)   7.29 states/eV/cell
Calculated formation energy   -0.734 eV per atom
Energy   -6.01 eV per atom

Lattice parameters (Å, degrees): 4.038 6.976 9.131 90.00 102.77 90.00
Fractional coordinates of all 14 atoms:
1 Ge 0.437 0.567 0.874
2 Ge 0.224 0.750 0.448
3 Ge 0.437 0.933 0.874
4 Ge 0.563 0.433 0.126
5 Ge 0.563 0.067 0.126
6 Ge 0.776 0.250 0.552
7 Pd 0.694 0.547 0.387
8 Pd 0.306 0.453 0.613
9 Pd 0.306 0.047 0.613
10 Pd 0.694 0.953 0.387
11 Sc 0.846 0.750 0.692
12 Sc 0.053 0.750 0.105
13 Sc 0.947 0.250 0.895
14 Sc 0.154 0.250 0.308